Record 1
{"formula": "Tl2FeCuC", "functional": "PBE", "state": "relaxed", "lattice_angstrom": [[5.083, 0.000, 0.000], [0.000, 5.083, 0.000], [0.000, 0.000, 3.700]], "species": ["Tl", "Tl", "Fe", "Cu", "C"], "fractional_positions": [[0.000, 0.500, 0.000], [0.500, 0.000, 0.000], [0.000, 0.000, 0.500], [0.500, 0.500, 0.500], [0.500, 0.500, 0.000]], "m_tot_mub_per_atom": 0.63, "e_form_ev_per_fu": 5.70, "rho_g_cm3": 9.384}

=====

Record 2
{"formula": "TmFeCuC", "functional": "PBE", "state": "relaxed", "lattice_angstrom": [[3.385, 0.000, 0.000], [0.000, 3.385, 0.000], [0.000, 0.000, 9.536]], "species": ["Tm", "Tm", "Fe", "Fe", "Cu", "Cu", "C", "C"], "fractional_positions": [[0.250, 0.250, 0.242], [0.750, 0.750, 0.758], [0.250, 0.750, 0.000], [0.750, 0.250, 0.000], [0.250, 0.750, 0.500], [0.750, 0.250, 0.500], [0.250, 0.250, 0.894], [0.750, 0.750, 0.106]], "m_tot_mub_per_atom": 0.00, "e_form_ev_per_fu": -0.59, "rho_g_cm3": 9.128}

=====

Record 3
{"formula": "Tm2FeCuC", "functional": "PBE", "state": "relaxed", "lattice_angstrom": [[4.837, 0.000, 0.000], [0.000, 4.837, 0.000], [0.000, 0.000, 3.614]], "species": ["Tm", "Tm", "Fe", "Cu", "C"], "fractional_positions": [[0.000, 0.500, 0.000], [0.500, 0.000, 0.000], [0.000, 0.000, 0.500], [0.500, 0.500, 0.500], [0.000, 0.000, 0.000]], "m_tot_mub_per_atom": 0.00, "e_form_ev_per_fu": -1.57, "rho_g_cm3": 9.213}